Arrangement one

VASP calculation (PBE) on K2TlCo after structural relaxation.

Cell lengths 3.4387, 3.4387, 10.8279 Å; angles 90.00, 90.00, 90.00 degrees
Last column: nearest neighbours and their distance in Å.
Element x y z (fractional)
1 K 0.0000 0.0000 0.2177  4 Co 3.39, 4 K 3.44
2 K 0.0000 0.0000 0.7823  4 Co 3.39, 4 K 3.44
3 Tl 0.5000 0.5000 0.5000  4 Tl 3.44
4 Co 0.5000 0.5000 0.0000  8 K 3.39, 4 Co 3.44

=====

Arrangement two

VASP calculation (PBE) on K2TlCo after structural relaxation.

Cell lengths 6.5065, 6.5065, 6.5065 Å; angles 138.25, 126.00, 70.50 degrees
Last column: nearest neighbours and their distance in Å.
Element x y z (fractional)
1 K 0.0000 0.0000 0.0000  4 K 3.60-3.99, 4 Tl 3.72-3.83, 4 Co 3.95
2 K 0.6942 0.1942 0.5000  2 Co 3.58, 4 K 3.60-3.99, 4 Tl 3.88
3 Tl 0.2874 0.7874 0.5000  2 Co 2.54
4 Co 0.3846 0.3846 0.0000  2 Tl 2.54

=====

Stability check: which of them is most stable? arrangement two.

=====

Arrangement one

VASP calculation (PBE) on KTlCo after structural relaxation.

Cell lengths 4.5018, 4.5018, 5.1945 Å; angles 90.00, 90.00, 120.00 degrees
Last column: nearest neighbours and their distance in Å.
Element x y z (fractional)
1 K 0.0000 0.0000 0.0000  6 Co 3.67, 6 Tl 3.67
2 Tl 0.6667 0.3333 0.5000  3 Co 2.60
3 Co 0.3333 0.6667 0.5000  3 Tl 2.60

=====

Arrangement two

VASP calculation (PBE) on KTlCo after structural relaxation.

Cell lengths 6.7193, 6.7193, 6.7193 Å; angles 151.48, 145.11, 45.66 degrees
Last column: nearest neighbours and their distance in Å.
Element x y z (fractional)
1 K 0.0000 0.0000 0.0000  1 Co 3.24, 2 K 3.31, 1 Tl 3.33
2 Tl 0.7311 0.7311 0.0000  4 Co 2.63
3 Co 0.2614 0.2614 0.0000  4 Tl 2.63

=====

Stability check: which of them is most stable? arrangement two.

=====

Arrangement one

VASP calculation (PBE) on KTl2ZnCo after structural relaxation.

Cell lengths 5.1032, 5.1032, 4.9000 Å; angles 90.00, 90.00, 90.00 degrees
Last column: nearest neighbours and their distance in Å.
Element x y z (fractional)
1 K 0.0000 0.0000 0.0000  8 Tl 3.54, 4 Zn 3.61
2 Tl 0.0000 0.5000 0.5000  2 Co 2.55
3 Tl 0.5000 0.0000 0.5000  2 Co 2.55
4 Zn 0.5000 0.5000 0.0000  2 Co 2.45
5 Co 0.5000 0.5000 0.5000  2 Zn 2.45, 4 Tl 2.55

=====

Arrangement two

VASP calculation (PBE) on KTl2ZnCo after structural relaxation.

Cell lengths 5.3088, 5.3088, 5.9615 Å; angles 90.00, 90.00, 90.00 degrees
Last column: nearest neighbours and their distance in Å.
Element x y z (fractional)
1 K 0.0000 0.0000 0.0000  2 Zn 2.98
2 Tl 0.0000 0.5000 0.5000  2 Zn 2.65
3 Tl 0.5000 0.0000 0.5000  2 Zn 2.65
4 Zn 0.0000 0.0000 0.5000  4 Tl 2.65
5 Co 0.5000 0.5000 0.0000  4 K 3.75, 8 Tl 3.99

=====

Stability check: which of them is most stable? arrangement one.

=====

Arrangement one

VASP calculation (PBE) on KV3Co after structural relaxation.

Cell lengths 4.2393, 4.2393, 4.2393 Å; angles 90.00, 90.00, 90.00 degrees
Last column: nearest neighbours and their distance in Å.
Element x y z (fractional)
1 K 0.0000 0.0000 0.0000  6 V 2.12
2 V 0.0000 0.0000 0.5000  2 K 2.12
3 V 0.0000 0.5000 0.0000  2 K 2.12
4 V 0.5000 0.0000 0.0000  2 K 2.12
5 Co 0.5000 0.5000 0.5000  12 V 3.00

=====

Arrangement two

VASP calculation (PBE) on KV3Co after structural relaxation.

Cell lengths 4.6760, 4.6760, 4.6760 Å; angles 90.00, 90.00, 90.00 degrees
Last column: nearest neighbours and their distance in Å.
Element x y z (fractional)
1 K 0.0000 0.0000 0.0000  12 V 3.31
2 V 0.0000 0.5000 0.5000  2 Co 2.34
3 V 0.5000 0.0000 0.5000  2 Co 2.34
4 V 0.5000 0.5000 0.0000  2 Co 2.34
5 Co 0.5000 0.5000 0.5000  6 V 2.34

=====

Stability check: which of them is most stable? arrangement two.

=====

Arrangement one

VASP calculation (PBE) on KCoW after structural relaxation.

Cell lengths 2.8862, 2.8862, 7.8448 Å; angles 90.00, 90.00, 120.00 degrees
Last column: nearest neighbours and their distance in Å.
Element x y z (fractional)
1 K 0.0000 0.0000 0.0000  6 K 2.89
2 Co 0.3333 0.6667 0.6397  3 W 2.48
3 W 0.6667 0.3333 0.4059  3 Co 2.48

=====

Arrangement two

VASP calculation (PBE) on KCoW after structural relaxation.

Cell lengths 7.2462, 7.2462, 7.2462 Å; angles 155.75, 155.75, 34.56 degrees
Last column: nearest neighbours and their distance in Å.
Element x y z (fractional)
1 K 0.0000 0.0000 0.0000  4 K 3.04
2 Co 0.3066 0.3066 0.0000  4 W 2.41
3 W 0.7287 0.7287 0.0000  4 Co 2.41

=====

Stability check: which of them is most stable? arrangement two.

=====

Arrangement one

VASP calculation (PBE) on KCo2W after structural relaxation.

Cell lengths 4.4634, 4.4634, 4.4634 Å; angles 60.00, 60.00, 60.00 degrees
Last column: nearest neighbours and their distance in Å.
Element x y z (fractional)
1 K 0.0000 0.0000 0.0000  8 Co 2.73
2 Co 0.2500 0.2500 0.2500  4 W 2.73, 4 K 2.73
3 Co 0.7500 0.7500 0.7500  4 W 2.73, 4 K 2.73
4 W 0.5000 0.5000 0.5000  8 Co 2.73

=====

Arrangement two

VASP calculation (PBE) on KCo2W after structural relaxation.

Cell lengths 4.4072, 4.4072, 4.4072 Å; angles 60.00, 60.00, 60.00 degrees
Last column: nearest neighbours and their distance in Å.
Element x y z (fractional)
1 K 0.0000 0.0000 0.0000  4 W 2.70, 4 Co 2.70
2 Co 0.2500 0.2500 0.2500  4 Co 2.70, 4 K 2.70
3 Co 0.5000 0.5000 0.5000  4 W 2.70, 4 Co 2.70
4 W 0.7500 0.7500 0.7500  4 Co 2.70, 4 K 2.70

=====

Arrangement three

VASP calculation (PBE) on KCo2W after structural relaxation.

Cell lengths 5.3294, 5.3294, 5.3294 Å; angles 139.56, 139.56, 58.52 degrees
Last column: nearest neighbours and their distance in Å.
Element x y z (fractional)
1 K 0.0000 0.0000 0.0000  4 Co 2.60
2 Co 0.5000 0.5000 0.0000  4 K 2.60
3 Co 0.7500 0.2500 0.5000  4 W 2.60
4 W 0.2500 0.7500 0.5000  4 Co 2.60

=====

Arrangement four

VASP calculation (PBE) on KCo2W after structural relaxation.

Cell lengths 5.7011, 5.7011, 5.7011 Å; angles 149.56, 117.75, 70.86 degrees
Last column: nearest neighbours and their distance in Å.
Element x y z (fractional)
1 K 0.0000 0.0000 0.0000  2 K 2.99, 4 Co 3.26, 4 W 3.31
2 Co 0.3119 0.8119 0.5000  2 W 2.30
3 Co 0.6881 0.1881 0.5000  2 W 2.30
4 W 0.5000 0.5000 0.0000  4 Co 2.30

=====

Stability check: which of them is most stable? arrangement four.

=====

Arrangement one

VASP calculation (PBE) on KCo2W after structural relaxation.

Cell lengths 2.6528, 4.6699, 5.4156 Å; angles 90.00, 90.00, 90.00 degrees
Last column: nearest neighbours and their distance in Å.
Element x y z (fractional)
1 K 0.0000 0.0000 0.0000  2 K 2.65, 4 Co 2.69
2 Co 0.0000 0.5000 0.5000  2 Co 2.65, 4 W 2.69
3 Co 0.5000 0.5000 0.0000  2 Co 2.65, 4 K 2.69
4 W 0.5000 0.0000 0.5000  2 W 2.65, 4 Co 2.69

=====

Arrangement two

VASP calculation (PBE) on KCo2W after structural relaxation.

Cell lengths 10.1067, 10.1067, 10.1067 Å; angles 15.71, 15.71, 15.71 degrees
Last column: nearest neighbours and their distance in Å.
Element x y z (fractional)
1 K 0.0000 0.0000 0.0000  6 K 2.76
2 Co 0.4892 0.4892 0.4892  3 Co 2.43, 3 W 2.65
3 Co 0.7613 0.7613 0.7613  3 Co 2.43
4 W 0.2268 0.2268 0.2268  3 Co 2.65, 6 W 2.76

=====

Stability check: which of them is most stable? arrangement two.

=====

Arrangement one

VASP calculation (PBE) on KYCo2 after structural relaxation.

Cell lengths 5.1906, 5.1906, 7.6723 Å; angles 118.79, 118.79, 42.72 degrees
Last column: nearest neighbours and their distance in Å.
Element x y z (fractional)
1 K 0.0000 0.0000 0.0000  6 Co 3.45-3.77, 2 K 3.78
2 Y 0.5000 0.5000 0.5000  6 Co 2.71-2.92
3 Co 0.2544 0.2544 0.5731  2 Co 2.18
4 Co 0.7456 0.7456 0.4269  2 Co 2.18

=====

Arrangement two

VASP calculation (PBE) on KYCo2 after structural relaxation.

Cell lengths 4.9480, 4.9480, 4.9480 Å; angles 60.00, 60.00, 60.00 degrees
Last column: nearest neighbours and their distance in Å.
Element x y z (fractional)
1 K 0.0000 0.0000 0.0000  8 Co 3.03
2 Y 0.5000 0.5000 0.5000  8 Co 3.03
3 Co 0.2500 0.2500 0.2500  4 Y 3.03, 4 K 3.03
4 Co 0.7500 0.7500 0.7500  4 Y 3.03, 4 K 3.03

=====

Arrangement three

VASP calculation (PBE) on KYCo2 after structural relaxation.

Cell lengths 3.6423, 3.8264, 7.5579 Å; angles 90.00, 90.16, 90.00 degrees
Last column: nearest neighbours and their distance in Å.
Element x y z (fractional)
1 K 0.0000 0.0000 0.0000  4 K 3.64-3.83, 8 Co 3.76-3.77, 2 Y 3.78
2 Y 0.0000 0.0000 0.5000  8 Co 2.86
3 Co 0.4993 0.5000 0.3550  1 Co 2.19
4 Co 0.5007 0.5000 0.6450  1 Co 2.19

=====

Arrangement four

VASP calculation (PBE) on KYCo2 after structural relaxation.

Cell lengths 7.5080, 7.5080, 7.5080 Å; angles 151.07, 146.62, 44.74 degrees
Last column: nearest neighbours and their distance in Å.
Element x y z (fractional)
1 K 0.0000 0.0000 0.0000  6 Co 3.44-3.72, 2 K 3.75
2 Y 0.2564 0.7564 0.5000  6 Co 2.71-2.91
3 Co 0.6384 0.6384 0.0000  2 Co 2.18
4 Co 0.7180 0.2180 0.5000  2 Co 2.18

=====

Stability check: which of them is most stable? arrangement four.